(1)
Computed, not measured: a relaxed Tm3MgRu crystal at the PBE level of DFT.

Its energy above the most stable polymorph in this dataset is 96 meV per atom. The value obtained for the mass density is 7.7 Mg/m³. As for the formation energy: -0.14 eV/atom. Its spin magnetization is 0.0 μB/f.u.

It has space group Cmm2 (No. 35), with a = 10.370 Å, b = 15.117 Å, c = 3.466 Å, α = 90.00°, β = 90.00° and γ = 90.00°. The inequivalent atoms are Tm at (0.000, 0.206, 0.000), Tm at (0.215, 0.385, 0.498), Mg at (0.000, 0.000, 0.502), Mg at (0.000, 0.500, 0.999) and Ru at (0.250, 0.250, 0.998).

---

(2)
Computed, not measured: a relaxed Ho5AlCd4 crystal at the PBE level of DFT.

The value obtained for the mass density is 8.5 Mg/m³. As for the formation energy: -0.33 eV/atom. Its spin magnetization is 0.0 μB/f.u.

It has space group P4/mmm (No. 123), with a = 3.694 Å, b = 3.694 Å, c = 18.565 Å, α = 90.00°, β = 90.00° and γ = 90.00°. The inequivalent atoms are Ho at (0.000, 0.000, 0.000), Ho at (0.000, 0.000, 0.203), Ho at (0.000, 0.000, 0.406), Al at (0.500, 0.500, 0.500), Cd at (0.500, 0.500, 0.102) and Cd at (0.500, 0.500, 0.305).

---

(3)
Computed, not measured: a relaxed Ti2Ga2Pt crystal at the PBE level of DFT.

Its energy above the most stable polymorph in this dataset is 3 meV per atom. The value obtained for the mass density is 8.9 Mg/m³. As for the formation energy: -0.64 eV/atom. Its spin magnetization is 0.0 μB/f.u.

It has space group P4/mbm (No. 127), with a = 6.434 Å, b = 6.434 Å, c = 3.878 Å, α = 90.00°, β = 90.00° and γ = 90.00°. The inequivalent atoms are Ti at (0.167, 0.333, 0.000), Ga at (0.136, 0.636, 0.500) and Pt at (0.000, 0.000, 0.500).

---

(4)
Computed, not measured: a relaxed LaCd2H2 crystal at the PBE level of DFT.

Its energy above the most stable polymorph in this dataset is 183 meV per atom. The value obtained for the mass density is 6.3 Mg/m³. Its spin magnetization is 0.0 μB/f.u.

It has space group I4/mmm (No. 139), with a = 4.083 Å, b = 4.083 Å, c = 11.517 Å, α = 90.00°, β = 90.00° and γ = 90.00°. The inequivalent atoms are La at (0.000, 0.000, 0.000), Cd at (0.000, 0.500, 0.250) and H at (0.000, 0.000, 0.464).

---

(5)
Computed, not measured: a relaxed Ba8Cd2In crystal at the PBE level of DFT.

Its energy above the most stable polymorph in this dataset is 0 meV per atom. The value obtained for the mass density is 4.5 Mg/m³. As for the formation energy: -0.18 eV/atom. Its spin magnetization is 0.0 μB/f.u.

It has space group C2/m (No. 12), with a = 21.327 Å, b = 6.119 Å, c = 8.588 Å, α = 90.00°, β = 109.32° and γ = 90.00°. The inequivalent atoms are Ba at (0.031, 0.000, 0.296), Ba at (0.094, 0.500, 0.945), Ba at (0.168, 0.500, 0.462), Ba at (0.200, 0.000, 0.810), Cd at (0.183, 0.000, 0.201) and In at (0.000, 0.500, 0.500).

---

(6)
Computed, not measured: a relaxed Pm3Mg2Co crystal at the PBE level of DFT.

The value obtained for the mass density is 5.3 Mg/m³. As for the formation energy: 0.05 eV/atom. Its spin magnetization is 0.0 μB/f.u.

It has space group C2/m (No. 12), with a = 7.811 Å, b = 10.440 Å, c = 8.482 Å, α = 90.00°, β = 97.39° and γ = 90.00°. The inequivalent atoms are Pm at (0.159, 0.000, 0.161), Pm at (0.220, 0.187, 0.790), Mg at (0.000, 0.000, 0.500), Mg at (0.000, 0.359, 0.500), Mg at (0.000, 0.500, 0.000) and Co at (0.000, 0.228, 0.000).

---

(7)
Computed, not measured: a relaxed NdTh2Be2Pt7 crystal at the PBE level of DFT.

The value obtained for the mass density is 14.3 Mg/m³. As for the formation energy: -0.96 eV/atom. Its spin magnetization is 0.0 μB/f.u.

It has space group C2/m (No. 12), with a = 5.898 Å, b = 6.589 Å, c = 12.099 Å, α = 90.00°, β = 101.22° and γ = 90.00°. The inequivalent atoms are Nd at (0.000, 0.000, 0.000), Th at (0.199, 0.000, 0.380), Be at (0.194, 0.500, 0.180), Pt at (0.000, 0.500, 0.000), Pt at (0.111, 0.283, 0.807) and Pt at (0.202, 0.500, 0.373).

---

(8)
Computed, not measured: a relaxed Pm2DyHg crystal at the PBE level of DFT.

Its energy above the most stable polymorph in this dataset is 0 meV per atom. The value obtained for the mass density is 9.0 Mg/m³. As for the formation energy: -0.23 eV/atom. Its spin magnetization is 0.0 μB/f.u.

It has space group P4/nmm (No. 129, origin choice 2), with a = 5.210 Å, b = 5.210 Å, c = 8.916 Å, α = 90.00°, β = 90.00° and γ = 90.00°. The inequivalent atoms are Pm at (0.250, 0.250, 0.221), Pm at (0.250, 0.750, 0.500), Dy at (0.250, 0.250, 0.782) and Hg at (0.250, 0.750, 0.000).

---

(9)
Computed, not measured: a relaxed Li2HfAlBi crystal at the PBE level of DFT.

The value obtained for the mass density is 5.0 Mg/m³. As for the formation energy: 1.00 eV/atom. Its spin magnetization is 1.9 μB/f.u.

It has space group P4/mmm (No. 123), with a = 5.164 Å, b = 5.164 Å, c = 5.299 Å, α = 90.00°, β = 90.00° and γ = 90.00°. The inequivalent atoms are Li at (0.000, 0.500, 0.000), Hf at (0.000, 0.000, 0.000), Al at (0.000, 0.000, 0.500) and Bi at (0.500, 0.500, 0.500).

---

(10)
Computed, not measured: a relaxed LaNCl3 crystal at the PBE level of DFT.

As for the formation energy without anion corrections: -0.8338 eV per atom. Its energy above the most stable polymorph in this dataset is 1056 meV per atom. The value obtained for the mass density is 2.5 Mg/m³. Its spin magnetization is 3.0 μB/f.u.

It has space group Pm-3m (No. 221), with a = 5.584 Å, b = 5.584 Å, c = 5.584 Å, α = 90.00°, β = 90.00° and γ = 90.00°. The inequivalent atoms are La at (0.000, 0.000, 0.000), N at (0.500, 0.500, 0.500) and Cl at (0.000, 0.000, 0.500).

---

(11)
Computed, not measured: a relaxed RbPbCl2 crystal at the PBE level of DFT.

As for the formation energy without anion corrections: -1.1485 eV per atom. Its energy above the most stable polymorph in this dataset is 0 meV per atom. The value obtained for the mass density is 4.0 Mg/m³. Its spin magnetization is 0.0 μB/f.u.

It has space group R-3m (No. 166, hexagonal axes), with a = 4.2299 Å, b = 4.2299 Å, c = 29.1832 Å, α = 90.00°, β = 90.00° and γ = 120.00°. The inequivalent atoms are Rb at (0.0000, 0.0000, 0.0000), Pb at (0.0000, 0.0000, 0.5000) and Cl at (0.0000, 0.0000, 0.4047).

---

(12)
Computed, not measured: a relaxed Ca2ReBiO6 crystal at the PBE level of DFT.

As for the formation energy without anion corrections: -1.8588 eV per atom. The value obtained for the mass density is 5.7 Mg/m³. Its spin magnetization is 0.0 μB/f.u.

It has space group P4mm (No. 99), with a = 5.666 Å, b = 5.666 Å, c = 5.196 Å, α = 90.00°, β = 90.00° and γ = 90.00°. The inequivalent atoms are Ca at (0.000, 0.500, 0.000), Re at (0.000, 0.000, 0.617), Bi at (0.500, 0.500, 0.603), O at (0.000, 0.000, 0.280), O at (0.227, 0.227, 0.768) and O at (0.500, 0.500, 0.192).

---

(13)
Computed, not measured: a relaxed Pu2ZnCd crystal at the PBE level of DFT.

Its energy above the most stable polymorph in this dataset is 375 meV per atom. The value obtained for the mass density is 15.8 Mg/m³. As for the formation energy: 0.40 eV/atom. Its spin magnetization is 0.0 μB/f.u.

It has space group P4/mmm (No. 123), with a = 3.611 Å, b = 3.611 Å, c = 5.373 Å, α = 90.00°, β = 90.00° and γ = 90.00°. The inequivalent atoms are Pu at (0.000, 0.500, 0.000), Zn at (0.000, 0.000, 0.500) and Cd at (0.500, 0.500, 0.500).

---

(14)
Computed, not measured: a relaxed TbErScAg crystal at the PBE level of DFT.

Its energy above the most stable polymorph in this dataset is 142 meV per atom. The value obtained for the mass density is 7.8 Mg/m³. As for the formation energy: 0.03 eV/atom. Its spin magnetization is 0.0 μB/f.u.

It has space group F-43m (No. 216), with a = 7.428 Å, b = 7.428 Å, c = 7.428 Å, α = 90.00°, β = 90.00° and γ = 90.00°. The inequivalent atoms are Tb at (0.000, 0.000, 0.000), Er at (0.000, 0.000, 0.500), Sc at (0.250, 0.250, 0.750) and Ag at (0.250, 0.250, 0.250).